## Ba2Li17Pt3 (PBE-GGA)

Data for a relaxed Ba2Li17Pt3 crystal.

POSCAR file:
```
Ba2Li17Pt3
1.0
7.9617 -0.0013 0.8520
0.7655 7.9248 0.8520
-0.0014 -0.0013 8.0072
Ba Li Pt
2 17 3
direct
0.3347 0.3347 0.3347
0.6653 0.6653 0.6653
0.5000 0.0000 0.0000
0.0000 0.0000 0.5000
0.0000 0.5000 0.0000
0.0000 0.7294 0.2706
0.7294 0.2706 0.0000
0.2706 0.0000 0.7294
0.2706 0.7294 0.0000
0.7294 0.0000 0.2706
0.0000 0.2706 0.7294
0.1603 0.6652 0.6652
0.6652 0.6652 0.1603
0.6652 0.1603 0.6652
0.8397 0.3348 0.3348
0.3348 0.3348 0.8397
0.3348 0.8397 0.3348
0.0898 0.0898 0.0898
0.9102 0.9102 0.9102
0.0000 0.5000 0.5000
0.5000 0.5000 0.0000
0.5000 0.0000 0.5000
```

Properties
For the formation energy, the calculation gives -155 meV/atom. The space group is No. 166. The density of states at the Fermi level is 8.6 states/eV/cell. Its raw total energy is -2.63 eV/atom.

=====

## LaAsW (PBE-GGA)

Data for a relaxed LaAsW crystal.

POSCAR file:
```
LaAsW
1.0
4.6720 0.0000 0.0000
2.3360 4.0461 0.0000
2.3360 1.3487 3.8147
As W La
1 1 1
direct
0.7500 0.7500 0.7500
0.5000 0.5000 0.5000
0.0000 0.0000 0.0000
```

Properties
For the formation energy, the calculation gives 398 meV/atom. The space group is No. 216. The density of states at the Fermi level is 1.8 states/eV/cell. Its raw total energy is -7.11 eV/atom. The distance to the lowest polymorph of the same formula is 0.5091 eV per atom.